No. 1
Entry from the Alexandria database: a geometry-optimized KAg5F6 structure (GGA-PBE).

The volume is 16.378 A^3/atom. The calculation puts the density of states at the Fermi level at 0.29 states/eV per cell. The calculated density is 5.9 g/cm3. For the calculated total energy, the calculation gives -83.2 eV/cell.

The structure belongs to space group C2/m (No. 12); the cell edges are 6.3356, 10.4260 and 6.1513 Å and the angles 90.00°, 104.68° and 90.00°. Symmetry generates all atoms from K at (0.0000, 0.0000, 0.0000), Ag at (0.0000, 0.1819, 0.5000), Ag at (0.0000, 0.3483, 0.0000), Ag at (0.0000, 0.5000, 0.5000), F at (0.2387, 0.0000, 0.7042) and F at (0.2466, 0.3233, 0.7677).

No. 2
Entry from the Alexandria database: a geometry-optimized KAg4F7 structure (GGA-PBE).

The volume is 16.476 A^3/atom. The calculation puts the density of states at the Fermi level at 5.93 states/eV per cell. The calculated density is 5.1 g/cm3. For the calculated total energy, the calculation gives -42.3 eV/cell.

The structure belongs to space group P1 (No. 1); the cell edges are 3.5902, 5.8215 and 10.0621 Å and the angles 105.13°, 97.12° and 98.71°. Symmetry generates all atoms from K at (0.0000, 0.0000, 0.0000), Ag at (0.1909, 0.4087, 0.7828), Ag at (0.3995, 0.6240, 0.2143), Ag at (0.4361, 0.8489, 0.6223), Ag at (0.8050, 0.2263, 0.3798), F at (0.0217, 0.1315, 0.5738), F at (0.1097, 0.9242, 0.2659), F at (0.3639, 0.6364, 0.9990), F at (0.4191, 0.5666, 0.4235), F at (0.5064, 0.1346, 0.8278), F at (0.6684, 0.3075, 0.1722) and F at (0.8428, 0.6548, 0.7292).

No. 3
Entry from the Alexandria database: a geometry-optimized KAg3F6 structure (GGA-PBE).

The volume is 16.171 A^3/atom. The calculation puts the density of states at the Fermi level at 2.78 states/eV per cell. The calculated density is 4.9 g/cm3. For the calculated total energy, the calculation gives -35.5 eV/cell.

The structure belongs to space group P1 (No. 1); the cell edges are 6.0774, 6.0842 and 6.1379 Å and the angles 119.56°, 90.05° and 119.90°. Symmetry generates all atoms from K at (0.0000, 0.0000, 0.0000), Ag at (0.2423, 0.4850, 0.7275), Ag at (0.5173, 0.0350, 0.5533), Ag at (0.7443, 0.4889, 0.2330), F at (0.0905, 0.5857, 0.4802), F at (0.4282, 0.4091, 0.9678), F at (0.4911, 0.3851, 0.4784), F at (0.5588, 0.9863, 0.9659), F at (0.8914, 0.9867, 0.4796) and F at (0.9832, 0.5417, 0.9691).

No. 4
Entry from the Alexandria database: a geometry-optimized K2AgF4 structure (GGA-PBE).

The volume is 18.635 A^3/atom. The calculation puts the density of states at the Fermi level at 3.76 states/eV per cell. The calculated density is 3.3 g/cm3. For the calculated total energy, the calculation gives -54.4 eV/cell.

The structure belongs to space group I4/mmm (No. 139); the cell edges are 4.4161, 4.4161 and 13.3773 Å and the angles 90.00°, 90.00° and 90.00°. Symmetry generates all atoms from K at (0.0000, 0.0000, 0.1422), Ag at (0.0000, 0.0000, 0.5000), F at (0.0000, 0.0000, 0.3345) and F at (0.0000, 0.5000, 0.0000).

No. 5
Entry from the Alexandria database: a geometry-optimized K2Ag2F7 structure (GGA-PBE).

The volume is 21.637 A^3/atom. The calculation puts the density of states at the Fermi level at 1.23 states/eV per cell. The calculated density is 3.0 g/cm3. For the calculated total energy, the calculation gives -40.3 eV/cell.

The structure belongs to space group P-1 (No. 2); the cell edges are 6.0203, 6.2731 and 6.7421 Å and the angles 74.63°, 79.15° and 78.37°. Symmetry generates all atoms from K at (0.1876, 0.0026, 0.2076), Ag at (0.2018, 0.4207, 0.6926), F at (0.0267, 0.7204, 0.5628), F at (0.0716, 0.6668, 0.0961), F at (0.3698, 0.1160, 0.8086) and F at (0.5000, 0.5000, 0.5000).

No. 6
Entry from the Alexandria database: a geometry-optimized K2AgF4 structure (GGA-PBE).

The volume is 19.763 A^3/atom. The calculated density is 3.1 g/cm3. For the calculated total energy, the calculation gives -217.3 eV/cell.

The structure belongs to space group Fdd2 (No. 43); the cell edges are 11.5062, 12.9403 and 7.4329 Å and the angles 90.00°, 90.00° and 90.00°. Symmetry generates all atoms from K at (0.0459, 0.2481, 0.0000), Ag at (0.0000, 0.0000, 0.2526), F at (0.1038, 0.4297, 0.5480) and F at (0.1148, 0.4369, 0.9483).